# 1
The following is a GGA-PBE calculation of SrAg2Ge after structural relaxation, from Alexandria via LeMat-Bulk.

The space group is P2_1/m (No. 11) and the conventional cell measures 4.592, 8.363 and 5.992 Å, with angles of 90.00, 112.46 and 90.00 degrees. Symmetry generates all atoms from Sr at (0.047, 0.250, 0.096), Ag at (0.235, 0.584, 0.470) and Ge at (0.341, 0.250, 0.682).

For the energy relative to the elements, the calculation gives -15.8 kJ/mol of atoms. The value obtained for the calculated volume is 26.6 Å³/atom.



# 2
The following is a GGA-PBE calculation of SrAg2Ge2 after structural relaxation, from Alexandria via LeMat-Bulk.

The space group is P4/mbm (No. 127) and the conventional cell measures 8.236, 8.236 and 3.202 Å, with angles of 90.00, 90.00 and 90.00 degrees. Symmetry generates all atoms from Sr at (0.000, 0.000, 0.000), Ag at (0.122, 0.378, 0.000) and Ge at (0.173, 0.673, 0.500).

For the energy relative to the elements, the calculation gives -3.5 kJ/mol of atoms. The value obtained for the calculated volume is 21.7 Å³/atom.



# 3
The following is a GGA-PBE calculation of SrAgGe3 after structural relaxation, from Alexandria via LeMat-Bulk.

The space group is Pm-3m (No. 221) and the conventional cell measures 5.636, 5.636 and 5.636 Å, with angles of 90.00, 90.00 and 90.00 degrees. Symmetry generates all atoms from Sr at (0.000, 0.000, 0.000), Ag at (0.500, 0.500, 0.500) and Ge at (0.000, 0.000, 0.500).

For the energy relative to the elements, the calculation gives 125.6 kJ/mol of atoms. The value obtained for the calculated volume is 35.8 Å³/atom.



# 4
The following is a GGA-PBE calculation of SrAgGe after structural relaxation, from Alexandria via LeMat-Bulk.

The space group is P-6m2 (No. 187) and the conventional cell measures 4.7438, 4.7438 and 3.8431 Å, with angles of 90.00, 90.00 and 120.00 degrees. Symmetry generates all atoms from Sr at (0.0000, 0.0000, 0.0000), Ag at (0.3333, 0.6667, 0.5000) and Ge at (0.6667, 0.3333, 0.5000).

For the energy relative to the elements, the calculation gives -42.0 kJ/mol of atoms. The value obtained for the calculated volume is 25.0 Å³/atom.



# 5
The following is a GGA-PBE calculation of SrAgGe after structural relaxation, from Alexandria via LeMat-Bulk.

The space group is Cmcm (No. 63) and the conventional cell measures 4.470, 17.183 and 4.038 Å, with angles of 90.00, 90.00 and 90.00 degrees. Symmetry generates all atoms from Sr at (0.000, 0.107, 0.250), Ag at (0.000, 0.291, 0.250) and Ge at (0.000, 0.456, 0.250).

For the energy relative to the elements, the calculation gives -33.7 kJ/mol of atoms. The value obtained for the calculated volume is 25.8 Å³/atom.



# 6
The following is a GGA-PBE calculation of SrAg3Ge2 after structural relaxation, from Alexandria via LeMat-Bulk.

The space group is C2/m (No. 12) and the conventional cell measures 16.689, 4.390 and 7.892 Å, with angles of 90.00, 115.56 and 90.00 degrees. Symmetry generates all atoms from Sr at (0.150, 0.000, 0.070), Ag at (0.042, 0.000, 0.374), Ag at (0.098, 0.500, 0.690), Ag at (0.185, 0.500, 0.445), Ge at (0.019, 0.500, 0.168) and Ge at (0.194, 0.000, 0.695).

For the energy relative to the elements, the calculation gives -20.7 kJ/mol of atoms. The value obtained for the calculated volume is 21.7 Å³/atom.



# 7
The following is a GGA-PBE calculation of SrAgGe after structural relaxation, from Alexandria via LeMat-Bulk.

The space group is I-4m2 (No. 119) and the conventional cell measures 4.512, 4.512 and 15.756 Å, with angles of 90.00, 90.00 and 90.00 degrees. Symmetry generates all atoms from Sr at (0.000, 0.000, 0.000), Sr at (0.000, 0.500, 0.250), Ag at (0.000, 0.500, 0.662) and Ge at (0.000, 0.000, 0.421).

For the energy relative to the elements, the calculation gives -39.2 kJ/mol of atoms. The value obtained for the calculated volume is 26.7 Å³/atom.



# 8
The following is a GGA-PBE calculation of Sr3Ag7Ge4 after structural relaxation, from Alexandria via LeMat-Bulk.

The space group is C2/m (No. 12) and the conventional cell measures 16.910, 4.556 and 10.012 Å, with angles of 90.00, 125.92 and 90.00 degrees. Symmetry generates all atoms from Sr at (0.000, 0.000, 0.000), Sr at (0.188, 0.500, 0.687), Ag at (0.000, 0.000, 0.500), Ag at (0.005, 0.500, 0.277), Ag at (0.145, 0.000, 0.406), Ag at (0.184, 0.500, 0.029), Ge at (0.115, 0.000, 0.830) and Ge at (0.171, 0.500, 0.296).

For the energy relative to the elements, the calculation gives -26.2 kJ/mol of atoms. The value obtained for the calculated volume is 22.3 Å³/atom.



The raw total energy results, record by record, are as follows: -3.16; -3.36; -2.37; -3.49; -3.40; -3.46; -3.46; -3.38 eV per atom.